one) # RbAsSe2Cl | Alexandria | PBE-GGA | optimized geometry
# Calculated density: 3.90 g cm⁻³
data_RbAsSe2Cl
_symmetry_space_group_name_H-M 'P 4/m m m'
_symmetry_Int_Tables_number 123
_symmetry_space_group_name_Hall '-P 4 2'
_cell_length_a 5.483
_cell_length_b 5.483
_cell_length_c 5.007
_cell_angle_alpha 90.00
_cell_angle_beta 90.00
_cell_angle_gamma 90.00
loop_
_atom_site_label
_atom_site_type_symbol
_atom_site_fract_x
_atom_site_fract_y
_atom_site_fract_z
_atom_site_occupancy
Rb1 Rb 0.000 0.000 0.000 1
As1 As 0.500 0.500 0.000 1
Se1 Se 0.000 0.500 0.500 1
Cl1 Cl 0.500 0.500 0.500 1

=====

two) # RbAsSe2Cl | Alexandria | PBE-GGA | optimized geometry
# Calculated density: 1.86 g cm⁻³
data_RbAsSe2Cl
_symmetry_space_group_name_H-M 'P 4/m m m'
_symmetry_Int_Tables_number 123
_symmetry_space_group_name_Hall '-P 4 2'
_cell_length_a 6.731
_cell_length_b 6.731
_cell_length_c 6.982
_cell_angle_alpha 90.00
_cell_angle_beta 90.00
_cell_angle_gamma 90.00
loop_
_atom_site_label
_atom_site_type_symbol
_atom_site_fract_x
_atom_site_fract_y
_atom_site_fract_z
_atom_site_occupancy
Rb1 Rb 0.000 0.000 0.000 1
As1 As 0.000 0.000 0.500 1
Se1 Se 0.000 0.500 0.000 1
Cl1 Cl 0.500 0.500 0.500 1

=====

Most stable: one)

=====

one) # RbTlAsCl | Alexandria | PBE-GGA | optimized geometry
# Calculated density: 5.08 g cm⁻³
data_RbTlAsCl
_symmetry_space_group_name_H-M 'C 1 m 1'
_symmetry_Int_Tables_number 8
_cell_length_a 5.677
_cell_length_b 5.678
_cell_length_c 8.580
_cell_angle_alpha 90.00
_cell_angle_beta 108.88
_cell_angle_gamma 90.00
loop_
_symmetry_equiv_pos_as_xyz
'x,y,z'
'x,-y,z'
'x+1/2,y+1/2,z'
'x+1/2,-y+1/2,z'
loop_
_atom_site_label
_atom_site_type_symbol
_atom_site_fract_x
_atom_site_fract_y
_atom_site_fract_z
_atom_site_occupancy
Rb1 Rb 0.000 0.000 0.000 1
Tl1 Tl 0.258 0.500 0.526 1
As1 As 0.302 0.000 0.616 1
Cl1 Cl 0.086 0.500 0.176 1

=====

two) # RbTlAsCl | Alexandria | PBE-GGA | optimized geometry
# Calculated density: 4.57 g cm⁻³
data_RbTlAsCl
_symmetry_space_group_name_H-M 'P 3 m 1'
_symmetry_Int_Tables_number 156
_cell_length_a 4.5510
_cell_length_b 4.5510
_cell_length_c 8.0998
_cell_angle_alpha 90.00
_cell_angle_beta 90.00
_cell_angle_gamma 120.00
loop_
_symmetry_equiv_pos_as_xyz
'x,y,z'
'-y,x-y,z'
'-x+y,-x,z'
'-y,-x,z'
'-x+y,y,z'
'x,x-y,z'
loop_
_atom_site_label
_atom_site_type_symbol
_atom_site_fract_x
_atom_site_fract_y
_atom_site_fract_z
_atom_site_occupancy
Rb1 Rb 0.0000 0.0000 0.0000 1
Tl1 Tl 0.3333 0.6667 0.4446 1
As1 As 0.6667 0.3333 0.3393 1
Cl1 Cl 0.3333 0.6667 0.7876 1

=====

Most stable: two)

=====

one) # RbTlAsCl | Alexandria | PBE-GGA | optimized geometry
# Calculated density: 5.01 g cm⁻³
data_RbTlAsCl
_symmetry_space_group_name_H-M 'P 1 m 1'
_symmetry_Int_Tables_number 6
_cell_length_a 4.005
_cell_length_b 4.103
_cell_length_c 8.320
_cell_angle_alpha 90.00
_cell_angle_beta 103.87
_cell_angle_gamma 90.00
loop_
_symmetry_equiv_pos_as_xyz
'x,y,z'
'x,-y,z'
loop_
_atom_site_label
_atom_site_type_symbol
_atom_site_fract_x
_atom_site_fract_y
_atom_site_fract_z
_atom_site_occupancy
Rb1 Rb 0.000 0.000 0.000 1
Tl1 Tl 0.757 0.500 0.519 1
As1 As 0.295 0.000 0.595 1
Cl1 Cl 0.582 0.500 0.165 1

=====

two) # RbTlAsCl | Alexandria | PBE-GGA | optimized geometry
# Calculated density: 4.48 g cm⁻³
data_RbTlAsCl
_symmetry_space_group_name_H-M 'C 1 m 1'
_symmetry_Int_Tables_number 8
_cell_length_a 7.835
_cell_length_b 4.531
_cell_length_c 8.722
_cell_angle_alpha 90.00
_cell_angle_beta 106.83
_cell_angle_gamma 90.00
loop_
_symmetry_equiv_pos_as_xyz
'x,y,z'
'x,-y,z'
'x+1/2,y+1/2,z'
'x+1/2,-y+1/2,z'
loop_
_atom_site_label
_atom_site_type_symbol
_atom_site_fract_x
_atom_site_fract_y
_atom_site_fract_z
_atom_site_occupancy
Rb1 Rb 0.000 0.000 0.000 1
Tl1 Tl 0.161 0.000 0.459 1
As1 As 0.460 0.000 0.353 1
Cl1 Cl 0.267 0.000 0.793 1

=====

three) # RbTlAsCl | Alexandria | PBE-GGA | optimized geometry
# Calculated density: 4.49 g cm⁻³
data_RbTlAsCl
_symmetry_space_group_name_H-M 'P 1'
_symmetry_Int_Tables_number 1
_cell_length_a 4.538
_cell_length_b 4.538
_cell_length_c 8.702
_cell_angle_alpha 74.96
_cell_angle_beta 89.97
_cell_angle_gamma 60.04
loop_
_symmetry_equiv_pos_as_xyz
'x,y,z'
loop_
_atom_site_label
_atom_site_type_symbol
_atom_site_fract_x
_atom_site_fract_y
_atom_site_fract_z
_atom_site_occupancy
Rb1 Rb 0.000 0.000 0.000 1
Tl1 Tl 0.842 0.311 0.541 1
As1 As 0.211 0.574 0.647 1
Cl1 Cl 0.734 0.531 0.205 1

=====

Most stable: three)

=====

one) # RbTlAsCl | Alexandria | PBE-GGA | optimized geometry
# Calculated density: 4.80 g cm⁻³
data_RbTlAsCl
_symmetry_space_group_name_H-M 'A m m 2'
_symmetry_Int_Tables_number 38
_cell_length_a 5.305
_cell_length_b 3.684
_cell_length_c 14.159
_cell_angle_alpha 90.00
_cell_angle_beta 90.00
_cell_angle_gamma 90.00
loop_
_symmetry_equiv_pos_as_xyz
'x,y,z'
'-x,-y,z'
'-x,y,z'
'x,-y,z'
'x,y+1/2,z+1/2'
'-x,-y+1/2,z+1/2'
'-x,y+1/2,z+1/2'
'x,-y+1/2,z+1/2'
loop_
_atom_site_label
_atom_site_type_symbol
_atom_site_fract_x
_atom_site_fract_y
_atom_site_fract_z
_atom_site_occupancy
Rb1 Rb 0.000 0.000 0.000 1
Tl1 Tl 0.500 0.000 0.776 1
As1 As 0.000 0.000 0.726 1
Cl1 Cl 0.500 0.000 0.446 1

=====

two) # RbTlAsCl | Alexandria | PBE-GGA | optimized geometry
# Calculated density: 4.57 g cm⁻³
data_RbTlAsCl
_symmetry_space_group_name_H-M 'R 3 m'
_symmetry_Int_Tables_number 160
_symmetry_space_group_name_Hall 'R 3 -2"'
_cell_length_a 4.5383
_cell_length_b 4.5383
_cell_length_c 24.4701
_cell_angle_alpha 90.00
_cell_angle_beta 90.00
_cell_angle_gamma 120.00
loop_
_atom_site_label
_atom_site_type_symbol
_atom_site_fract_x
_atom_site_fract_y
_atom_site_fract_z
_atom_site_occupancy
Rb1 Rb 0.0000 0.0000 0.0000 1
Tl1 Tl 0.0000 0.0000 0.4822 1
As1 As 0.0000 0.0000 0.7804 1
Cl1 Cl 0.0000 0.0000 0.5957 1

=====

Most stable: two)

=====

one) # ReAsCl2 | Alexandria | PBE-GGA | optimized geometry
# Calculated density: 5.23 g cm⁻³
data_ReAsCl2
_symmetry_space_group_name_H-M 'C m m m'
_symmetry_Int_Tables_number 65
_symmetry_space_group_name_Hall '-C 2 2'
_cell_length_a 4.803
_cell_length_b 13.977
_cell_length_c 3.139
_cell_angle_alpha 90.00
_cell_angle_beta 90.00
_cell_angle_gamma 90.00
loop_
_atom_site_label
_atom_site_type_symbol
_atom_site_fract_x
_atom_site_fract_y
_atom_site_fract_z
_atom_site_occupancy
Re1 Re 0.000 0.000 0.000 1
As1 As 0.000 0.500 0.000 1
Cl1 Cl 0.000 0.134 0.500 1

=====

two) # ReAsCl2 | Alexandria | PBE-GGA | optimized geometry
# Calculated density: 6.81 g cm⁻³
data_ReAsCl2
_symmetry_space_group_name_H-M 'R 3 m'
_symmetry_Int_Tables_number 160
_symmetry_space_group_name_Hall 'R 3 -2"'
_cell_length_a 3.2735
_cell_length_b 3.2735
_cell_length_c 26.1916
_cell_angle_alpha 90.00
_cell_angle_beta 90.00
_cell_angle_gamma 120.00
loop_
_atom_site_label
_atom_site_type_symbol
_atom_site_fract_x
_atom_site_fract_y
_atom_site_fract_z
_atom_site_occupancy
Re1 Re 0.0000 0.0000 0.0000 1
As1 As 0.0000 0.0000 0.7286 1
Cl1 Cl 0.0000 0.0000 0.2655 1
Cl2 Cl 0.0000 0.0000 0.4691 1

=====

three) # ReAsCl2 | Alexandria | PBE-GGA | optimized geometry
# Calculated density: 6.12 g cm⁻³
data_ReAsCl2
_symmetry_space_group_name_H-M 'I -4 2 d'
_symmetry_Int_Tables_number 122
_symmetry_space_group_name_Hall 'I -4 2bw'
_cell_length_a 8.695
_cell_length_b 8.695
_cell_length_c 4.763
_cell_angle_alpha 90.00
_cell_angle_beta 90.00
_cell_angle_gamma 90.00
loop_
_atom_site_label
_atom_site_type_symbol
_atom_site_fract_x
_atom_site_fract_y
_atom_site_fract_z
_atom_site_occupancy
Re1 Re 0.000 0.000 0.000 1
As1 As 0.000 0.000 0.500 1
Cl1 Cl 0.114 0.750 0.125 1

=====

four) # ReAsCl2 | Alexandria | PBE-GGA | optimized geometry
# Calculated density: 7.87 g cm⁻³
data_ReAsCl2
_symmetry_space_group_name_H-M 'F -4 3 m'
_symmetry_Int_Tables_number 216
_symmetry_space_group_name_Hall 'F -4 2 3'
_cell_length_a 6.543
_cell_length_b 6.543
_cell_length_c 6.543
_cell_angle_alpha 90.00
_cell_angle_beta 90.00
_cell_angle_gamma 90.00
loop_
_atom_site_label
_atom_site_type_symbol
_atom_site_fract_x
_atom_site_fract_y
_atom_site_fract_z
_atom_site_occupancy
Re1 Re 0.000 0.000 0.000 1
As1 As 0.250 0.250 0.750 1
Cl1 Cl 0.000 0.000 0.500 1
Cl2 Cl 0.250 0.250 0.250 1

=====

Most stable: one)